Ta | PBE | relaxed

energy above the lowest structure with this stoichiometry = 0.280 eV per atom
total magnetization = 0.005 Bohr magnetons per cell
E_form = 0.2800 eV/atom

```
data_Ta
_symmetry_space_group_name_H-M 'P 63/m m c'
_symmetry_Int_Tables_number 194
_symmetry_space_group_name_Hall '-P 6c 2c'
_cell_length_a 2.8948
_cell_length_b 2.8948
_cell_length_c 5.1357
_cell_angle_alpha 90.00
_cell_angle_beta 90.00
_cell_angle_gamma 120.00
loop_
_atom_site_label
_atom_site_type_symbol
_atom_site_fract_x
_atom_site_fract_y
_atom_site_fract_z
Ta1 Ta 0.3333 0.6667 0.2500
```

Er3Te5Os | PBE | relaxed

energy above the lowest structure with this stoichiometry = 0.000 eV per atom
total magnetization = 0.019 Bohr magnetons per cell

```
data_Er3Te5Os
_symmetry_space_group_name_H-M 'P -6 2 m'
_symmetry_Int_Tables_number 189
_symmetry_space_group_name_Hall 'P -6 -2'
_cell_length_a 8.3764
_cell_length_b 8.3764
_cell_length_c 4.2507
_cell_angle_alpha 90.00
_cell_angle_beta 90.00
_cell_angle_gamma 120.00
loop_
_atom_site_label
_atom_site_type_symbol
_atom_site_fract_x
_atom_site_fract_y
_atom_site_fract_z
Er1 Er 0.0000 0.2580 0.0000
Te1 Te 0.0000 0.6871 0.5000
Te2 Te 0.3333 0.6667 0.0000
Os1 Os 0.0000 0.0000 0.5000
```

- Among the records above, which one has the highest energy above the lowest structure with this stoichiometry?
  Ta

- Number 1 is which compound?
  Ta

- energy above the lowest structure with this stoichiometry of number 1 (Ta)?
  0.280 eV per atom

- Which formula does entry 2 have?
  Er3Te5Os